Record 1
Entry from the Alexandria database: an optimized crystal structure of Pr2GeH (GGA-PBE).

a = 3.456 Å, b = 3.456 Å, c = 7.309 Å
α = 90.00°, β = 90.00°, γ = 90.00°
Fractional coordinates of all 4 atoms:
Pr1 0.000 0.000 0.763
Pr2 0.000 0.000 0.237
H1 0.500 0.500 0.000
Ge1 0.500 0.500 0.500

Results
Electronic total energy, eV/atom: -4.68
Distance to the lowest polymorph of the same formula, eV per formula unit: 1.458
Density of states at the Fermi level, states/eV/atom: 0.6563
Magnetic moment, μB per formula unit: 0.00
Calculated volume, Å³/atom: 21.8
Space-group type: P4/mmm (123)

***

Record 2
Entry from the Alexandria database: an optimized crystal structure of Pr2GeHPt6 (GGA-PBE).

a = 5.766 Å, b = 6.991 Å, c = 5.765 Å
α = 65.56°, β = 59.99°, γ = 90.00°
Fractional coordinates of all 10 atoms:
Pr1 0.782 0.345 0.436
Pr2 0.218 0.655 0.564
Ge1 0.500 0.500 0.000
H1 0.000 0.000 0.000
Pt1 0.231 0.188 0.538
Pt2 0.768 0.811 0.959
Pt3 0.273 0.811 0.959
Pt4 0.727 0.189 0.041
Pt5 0.232 0.189 0.041
Pt6 0.769 0.812 0.462

Results
Electronic total energy, eV/atom: -6.15
Density of states at the Fermi level, states/eV/atom: 0.3124
Magnetic moment, μB per formula unit: 0.00
Calculated volume, Å³/atom: 17.7
Space-group type: C2/m (12)

***

Record 3
Entry from the Alexandria database: an optimized crystal structure of PrGeHPt2 (GGA-PBE).

a = 4.067 Å, b = 5.911 Å, c = 7.328 Å
α = 90.00°, β = 90.00°, γ = 110.12°
Fractional coordinates of all 10 atoms:
Pr1 0.445 0.890 0.750
Pr2 0.555 0.110 0.250
Ge1 0.728 0.455 0.750
Ge2 0.272 0.545 0.250
H1 0.000 0.000 0.000
H2 0.000 0.000 0.500
Pt1 0.159 0.317 0.946
Pt2 0.841 0.683 0.054
Pt3 0.159 0.317 0.554
Pt4 0.841 0.683 0.446

Results
Electronic total energy, eV/atom: -5.79
Density of states at the Fermi level, states/eV/atom: 0.3283
Magnetic moment, μB per formula unit: 0.00
Calculated volume, Å³/atom: 16.5
Space-group type: Cmcm (63)

***

Record 4
Entry from the Alexandria database: an optimized crystal structure of PrGeHRh2 (GGA-PBE).

a = 3.922 Å, b = 5.825 Å, c = 7.314 Å
α = 90.00°, β = 90.00°, γ = 109.67°
Fractional coordinates of all 10 atoms:
Pr1 0.442 0.885 0.750
Pr2 0.558 0.115 0.250
Ge1 0.723 0.446 0.750
Ge2 0.277 0.554 0.250
H1 0.000 0.000 0.000
H2 0.000 0.000 0.500
Rh1 0.157 0.315 0.947
Rh2 0.843 0.685 0.053
Rh3 0.157 0.315 0.553
Rh4 0.843 0.685 0.447

Results
Electronic total energy, eV/atom: -6.21
Density of states at the Fermi level, states/eV/atom: 0.5930
Magnetic moment, μB per formula unit: 0.00
Calculated volume, Å³/atom: 15.7
Space-group type: Cmcm (63)